Material: YAg2Ir2
Method: DFT, GGA-PBE
State: optimized geometry

```
5
Lattice="-1.9975 1.9975 6.2261 1.9975 -1.9975 6.2261 1.9975 1.9975 -6.2261" Properties=species:S:1:pos:R:3 pbc="T T T"
Y 0.0000 0.0000 0.0000
Ag 1.9975 0.0000 3.1131
Ag 0.0000 1.9975 3.1131
Ir 0.0000 0.0000 5.0354
Ir 0.0000 0.0000 7.4169
```

Output
Calculated density   11.52 g/cm3
Space-group type   I4/mmm, No. 139
Density of states at the Fermi level   4.1 states/eV per cell
Energy of formation   -14 meV per atom
Offset from the most stable computed form   0 meV per atom
Crystal system   tetragonal

***

Material: Y2AgIr
Method: DFT, GGA-PBE
State: optimized geometry

```
4
Lattice="4.0170 0.0000 0.0000 0.0000 4.0170 0.0000 0.0000 0.0000 6.0033" Properties=species:S:1:pos:R:3 pbc="T T T"
Y 0.0000 0.0000 0.0000
Y 2.0085 2.0085 2.2787
Ag 0.0000 0.0000 3.1468
Ir 2.0085 2.0085 5.4758
```

Output
Calculated density   8.19 g/cm3
Space-group type   P4mm, No. 99
Density of states at the Fermi level   2.2 states/eV per cell
Energy of formation   -336 meV per atom
Crystal system   tetragonal

***

Material: Y2AgIr
Method: DFT, GGA-PBE
State: optimized geometry

```
4
Lattice="2.0432 1.1796 7.1430 -2.0432 1.1796 7.1430 0.0000 -2.3593 7.1430" Properties=species:S:1:pos:R:3 pbc="T T T"
Y 0.0000 0.0000 5.0517
Y 0.0000 0.0000 16.3772
Ag 0.0000 0.0000 0.0000
Ir 0.0000 0.0000 10.7145
```

Output
Calculated density   7.68 g/cm3
Space-group type   R-3m, No. 166
Density of states at the Fermi level   2.9 states/eV per cell
Energy of formation   -439 meV per atom
Crystal system   trigonal

***

Material: Y6Ag5Ir
Method: DFT, GGA-PBE
State: optimized geometry

```
12
Lattice="2.5384 -7.6500 0.0000 2.5384 7.6500 0.0000 0.0000 0.0000 7.2585" Properties=species:S:1:pos:R:3 pbc="T T T"
Y 0.0000 0.0000 1.7017
Y 0.0000 0.0000 5.5569
Y 2.5384 2.4277 1.7648
Y 2.5384 2.4277 5.4937
Y 2.5384 -2.4277 1.7648
Y 2.5384 -2.4277 5.4937
Ag 2.5384 5.0999 3.6293
Ag 2.5384 4.9568 0.0000
Ag 2.5384 0.0000 3.6293
Ag 2.5384 -4.9568 0.0000
Ag 2.5384 -5.0999 3.6293
Ir 2.5384 0.0000 0.0000
```

Output
Calculated density   7.45 g/cm3
Space-group type   Cmmm, No. 65
Density of states at the Fermi level   8.5 states/eV per cell
Energy of formation   -430 meV per atom
Crystal system   orthorhombic

***

Material: Y6AgIr5
Method: DFT, GGA-PBE
State: optimized geometry

```
12
Lattice="4.8274 0.0000 0.0000 0.0000 7.1303 0.0000 -2.3744 0.0000 7.2591" Properties=species:S:1:pos:R:3 pbc="T T T"
Y 0.0000 1.7140 0.0000
Y 0.0000 5.4164 0.0000
Y 0.0245 1.7654 4.7845
Y 0.0245 5.3650 4.7845
Y 2.4286 1.7654 2.4745
Y 2.4286 5.3650 2.4745
Ag 2.4137 3.5652 0.0000
Ir 0.0146 3.5652 2.3722
Ir 0.0131 0.0000 2.4300
Ir 2.4137 0.0000 0.0000
Ir 2.4400 0.0000 4.8291
Ir 2.4385 3.5652 4.8868
```

Output
Calculated density   10.65 g/cm3
Space-group type   P2/m, No. 10
Density of states at the Fermi level   6.4 states/eV per cell
Energy of formation   -722 meV per atom
Crystal system   monoclinic

***

Material: YZrAgIr
Method: DFT, GGA-PBE
State: optimized geometry

```
4
Lattice="0.0000 3.4446 3.4446 3.4446 0.0000 3.4446 3.4446 3.4446 0.0000" Properties=species:S:1:pos:R:3 pbc="T T T"
Y 0.0000 0.0000 0.0000
Zr 3.4446 3.4446 3.4446
Ag 1.7223 1.7223 1.7223
Ir 5.1670 5.1670 5.1670
```

Output
Calculated density   9.75 g/cm3
Space-group type   F-43m, No. 216
Density of states at the Fermi level   3.4 states/eV per cell
Energy of formation   -453 meV per atom
Crystal system   cubic

***

Material: Yb2AgIr
Method: DFT, GGA-PBE
State: optimized geometry

```
4
Lattice="0.0000 3.5053 3.5053 3.5053 0.0000 3.5053 3.5053 3.5053 0.0000" Properties=species:S:1:pos:R:3 pbc="T T T"
Yb 1.7527 1.7527 1.7527
Yb 5.2580 5.2580 5.2580
Ag 0.0000 0.0000 0.0000
Ir 3.5053 3.5053 3.5053
```

Output
Calculated density   12.46 g/cm3
Space-group type   Fm-3m, No. 225
Density of states at the Fermi level   27.0 states/eV per cell
Energy of formation   -445 meV per atom
Crystal system   cubic

***

Material: ZnAgIr
Method: DFT, GGA-PBE
State: optimized geometry

```
3
Lattice="2.8194 0.0000 0.0000 -1.4097 2.4417 0.0000 0.0000 0.0000 6.6930" Properties=species:S:1:pos:R:3 pbc="T T T"
Zn 0.0000 0.0000 0.0000
Ag 0.0000 1.6278 2.2454
Ir 1.4097 0.8139 4.6442
```

Output
Calculated density   13.17 g/cm3
Space-group type   P3m1, No. 156
Density of states at the Fermi level   2.5 states/eV per cell
Energy of formation   52 meV per atom
Offset from the most stable computed form   0 meV per atom
Crystal system   trigonal